Computed, not measured: a geometry-optimized BaSiIr2 structure at the PBE level of DFT.

Cell lengths 5.105, 5.105, 8.767 Å; angles 73.07, 73.07, 90.00 degrees
Positions (direct):
Ir (0.375, 0.125, 0.250)
Ir (0.375, 0.625, 0.750)
Ba (0.750, 0.250, 0.500)
Si (0.500, 0.500, 0.000)
Ba (0.000, 0.000, 0.000)
Ir (0.375, 0.625, 0.250)
Si (0.250, 0.750, 0.500)
Ir (0.875, 0.625, 0.750)

Calculated values
Its raw formation energy is -0.960 eV/f.u. As for the total DFT energy (no corrections): -6.507 eV/atom. The space group is I4_1/amd.

***

Computed, not measured: a geometry-optimized BaSi7Ir3 structure at the PBE level of DFT.

Cell lengths 7.792, 7.792, 8.213 Å; angles 61.68, 61.68, 60.00 degrees
Positions (direct):
Ba (0.000, 0.000, 0.000)
Si (0.350, 0.561, 0.915)
Si (0.826, 0.650, 0.085)
Si (0.750, 0.750, 0.750)
Ir (0.065, 0.750, 0.750)
Si (0.561, 0.174, 0.915)
Si (0.150, 0.326, 0.585)
Si (0.250, 0.250, 0.250)
Si (0.326, 0.939, 0.585)
Si (0.439, 0.826, 0.085)
Si (0.650, 0.439, 0.085)
Si (0.939, 0.150, 0.585)
Ir (0.435, 0.065, 0.750)
Ir (0.250, 0.565, 0.250)
Si (0.061, 0.850, 0.415)
Ba (0.500, 0.500, 0.500)
Si (0.174, 0.350, 0.915)
Si (0.850, 0.674, 0.415)
Si (0.674, 0.061, 0.415)
Ir (0.750, 0.435, 0.750)
Ir (0.935, 0.250, 0.250)
Ir (0.565, 0.935, 0.250)

Calculated values
Its raw formation energy is -5.135 eV/f.u. As for the total DFT energy (no corrections): -6.509 eV/atom. The space group is R-3c.

***

Computed, not measured: a geometry-optimized Ba2SiIr structure at the PBE level of DFT.

Cell lengths 11.919, 11.919, 8.738 Å; angles 47.00, 47.00, 90.00 degrees
Positions (direct):
Ba (0.810, 0.125, 0.250)
Ba (0.940, 0.625, 0.250)
Si (0.250, 0.750, 0.500)
Si (0.500, 0.500, 0.000)
Ir (0.750, 0.250, 0.500)
Ba (0.875, 0.060, 0.750)
Ir (0.000, 0.000, 0.000)
Ba (0.375, 0.190, 0.750)

Calculated values
Its raw formation energy is -1.266 eV/f.u. As for the total DFT energy (no corrections): -4.849 eV/atom. The space group is I-42d.

***

Computed, not measured: a geometry-optimized BaSi3Ir structure at the PBE level of DFT.

Cell lengths 5.276, 5.276, 5.276 Å; angles 90.00, 90.00, 90.00 degrees
Positions (direct):
Ba (0.000, 0.000, 0.000)
Si (0.000, 0.500, 0.000)
Si (0.500, 0.000, 0.000)
Si (0.000, 0.000, 0.500)
Ir (0.500, 0.500, 0.500)

Calculated values
Its raw formation energy is 13.199 eV/f.u. As for the total DFT energy (no corrections): -2.771 eV/atom. The space group is Pm-3m.

***

Computed, not measured: a geometry-optimized BaSiIr2 structure at the PBE level of DFT.

Cell lengths 2.944, 3.842, 7.118 Å; angles 90.00, 90.00, 90.00 degrees
Positions (direct):
Ir (0.000, 0.000, 0.074)
Ba (0.500, 0.500, 0.754)
Si (0.000, 0.000, 0.406)
Ir (0.500, 0.500, 0.265)

Calculated values
Its raw formation energy is 0.398 eV/f.u. As for the total DFT energy (no corrections): -6.168 eV/atom. The space group is Pmm2.

***

Computed, not measured: a geometry-optimized BaSi2Ir structure at the PBE level of DFT.

Cell lengths 5.235, 5.235, 8.487 Å; angles 72.04, 72.04, 90.00 degrees
Positions (direct):
Si (0.875, 0.125, 0.250)
Si (0.875, 0.125, 0.750)
Ba (0.500, 0.500, 0.000)
Si (0.875, 0.625, 0.250)
Si (0.375, 0.125, 0.750)
Ir (0.750, 0.250, 0.500)
Ba (0.250, 0.750, 0.500)
Ir (0.000, 0.000, 0.000)

Calculated values
Its raw formation energy is -1.869 eV/f.u. As for the total DFT energy (no corrections): -5.875 eV/atom. The space group is I4_1/amd.

***

Computed, not measured: a geometry-optimized BaSiIr2 structure at the PBE level of DFT.

Cell lengths 5.473, 5.473, 5.473 Å; angles 135.82, 135.82, 64.26 degrees
Positions (direct):
Si (0.500, 0.500, 0.000)
Ir (0.000, 0.000, 0.000)
Ir (0.250, 0.750, 0.500)
Ba (0.750, 0.250, 0.500)

Calculated values
Its raw formation energy is 2.921 eV/f.u. As for the total DFT energy (no corrections): -5.537 eV/atom. The space group is I-4m2.

***

Computed, not measured: a geometry-optimized BaSiIr2 structure at the PBE level of DFT.

Cell lengths 3.952, 3.952, 5.940 Å; angles 89.94, 90.00, 90.00 degrees
Positions (direct):
Si (0.000, 0.375, 0.404)
Ir (0.500, 0.375, 0.187)
Ba (0.500, 0.875, 0.723)
Ir (0.000, 0.875, 0.187)

Calculated values
Its raw formation energy is -0.875 eV/f.u. As for the total DFT energy (no corrections): -6.486 eV/atom. The space group is P4mm.

***

Computed, not measured: a geometry-optimized BaSiIr2 structure at the PBE level of DFT.

Cell lengths 4.936, 4.936, 4.936 Å; angles 125.17, 125.17, 81.26 degrees
Positions (direct):
Si (0.250, 0.750, 0.500)
Ir (0.500, 0.500, 0.000)
Ir (0.000, 0.000, 0.000)
Ba (0.750, 0.250, 0.500)

Calculated values
Its raw formation energy is 2.498 eV/f.u. As for the total DFT energy (no corrections): -5.642 eV/atom. The space group is I4/mmm.

***

Computed, not measured: a geometry-optimized BaSiIr3 structure at the PBE level of DFT.

Cell lengths 5.109, 5.109, 5.109 Å; angles 90.00, 90.00, 90.00 degrees
Site moments in Bohr magnetons follow the coordinates.
Positions (direct):
Ir (0.000, 0.500, 0.000)  0.36
Ir (0.000, 0.000, 0.500)  0.25
Ba (0.000, 0.000, 0.000)  -0.03
Ir (0.500, 0.000, 0.000)  0.32
Si (0.500, 0.500, 0.500)  -0.02

Calculated values
Its raw formation energy is 14.595 eV/f.u. As for the total DFT energy (no corrections): -3.867 eV/atom. The space group is Pm-3m. Its energy above the most stable polymorph in this dataset is 2.753 eV per atom.

***

Computed, not measured: a geometry-optimized BaSi3Ir structure at the PBE level of DFT.

Cell lengths 6.567, 7.916, 8.689 Å; angles 115.22, 90.00, 90.00 degrees
Positions (direct):
Si (0.047, 0.171, 0.083)
Si (0.547, 0.829, 0.417)
Si (0.856, 0.953, 0.632)
Si (0.453, 0.171, 0.583)
Si (0.456, 0.660, 0.097)
Si (0.044, 0.660, 0.597)
Ba (0.447, 0.368, 0.289)
Si (0.356, 0.047, 0.868)
Ir (0.234, 0.914, 0.576)
Si (0.953, 0.829, 0.917)
Ba (0.553, 0.632, 0.711)
Ba (0.053, 0.368, 0.789)
Si (0.544, 0.340, 0.903)
Ir (0.734, 0.086, 0.924)
Ir (0.266, 0.914, 0.076)
Ir (0.766, 0.086, 0.424)
Si (0.644, 0.953, 0.132)
Ba (0.947, 0.632, 0.211)
Si (0.144, 0.047, 0.368)
Si (0.956, 0.340, 0.403)

Calculated values
Its raw formation energy is -2.166 eV/f.u. As for the total DFT energy (no corrections): -5.844 eV/atom. The space group is P2_1/c.

***

Computed, not measured: a geometry-optimized BaSi2Ir structure at the PBE level of DFT.

Cell lengths 5.404, 5.404, 5.404 Å; angles 132.85, 106.71, 91.86 degrees
Positions (direct):
Ba (0.506, 0.506, 0.000)
Ir (0.139, 0.639, 0.500)
Si (0.022, 0.022, 0.000)
Si (0.833, 0.333, 0.500)

Calculated values
Its raw formation energy is 0.155 eV/f.u. As for the total DFT energy (no corrections): -5.369 eV/atom. The space group is Imm2.